[1]
A crystal of KCrW3 relaxed with PBEsol. Source: Alexandria, functional meta-GGA SCAN.

- Total DFT energy (no corrections): -216.45 eV/f.u.
- V: 87.4 Å³ per cell
- N(E_F): 0.8065 states/eV/atom

Lattice parameters (Å, degrees): 4.438 4.438 4.438 90.00 90.00 90.00
Space group Pm-3m (No. 221)
Asymmetric unit:
K1 0.000 0.000 0.000 x1
Cr1 0.500 0.500 0.500 x1
W1 0.000 0.000 0.500 x3

---

[2]
A crystal of KCrW relaxed with PBEsol. Source: Alexandria, functional meta-GGA SCAN.

- Total DFT energy (no corrections): -93.11 eV/f.u.
- V: 130.7 Å³ per cell
- N(E_F): 0.5603 states/eV/atom

Lattice parameters (Å, degrees): 3.103 3.103 13.571 90.00 90.00 90.00
Space group I4mm (No. 107)
Asymmetric unit:
K1 0.000 0.000 0.000 x2
Cr1 0.000 0.000 0.296 x2
W1 0.000 0.000 0.721 x2

---

[3]
A crystal of K2CrW relaxed with PBEsol. Source: Alexandria, functional meta-GGA SCAN.

- Total DFT energy (no corrections): -96.54 eV/f.u.
- V: 538.9 Å³ per cell
- N(E_F): 0.2791 states/eV/atom

Lattice parameters (Å, degrees): 8.138 8.138 8.138 90.00 90.00 90.00
Space group Fm-3m (No. 225)
Asymmetric unit:
K1 0.250 0.250 0.250 x8
Cr1 0.000 0.000 0.000 x4
W1 0.000 0.000 0.500 x4

---

[4]
A crystal of KCrW2 relaxed with PBEsol. Source: Alexandria, functional meta-GGA SCAN.

- Total DFT energy (no corrections): -162.53 eV/f.u.
- V: 139.4 Å³ per cell
- N(E_F): 0.7638 states/eV/atom

Lattice parameters (Å, degrees): 3.034 4.499 10.217 90.00 90.00 90.00
Space group Cmmm (No. 65)
Asymmetric unit:
K1 0.000 0.000 0.000 x2
Cr1 0.000 0.000 0.500 x2
W1 0.000 0.500 0.304 x4

---

[5]
A crystal of KCr2W relaxed with PBEsol. Source: Alexandria, functional meta-GGA SCAN.

- Total DFT energy (no corrections): -111.06 eV/f.u.
- V: 82.8 Å³ per cell
- N(E_F): 0.5915 states/eV/atom

Lattice parameters (Å, degrees): 3.300 3.300 7.605 90.00 90.00 90.00
Space group P4/mmm (No. 123)
Asymmetric unit:
K1 0.000 0.000 0.000 x1
Cr1 0.500 0.500 0.368 x2
W1 0.000 0.000 0.500 x1

---

[6]
A crystal of KCr3W relaxed with PBEsol. Source: Alexandria, functional meta-GGA SCAN.

- Total DFT energy (no corrections): -126.93 eV/f.u.
- V: 112.1 Å³ per cell
- N(E_F): 0.4432 states/eV/atom

Lattice parameters (Å, degrees): 4.822 4.822 4.822 90.00 90.00 90.00
Space group Pm-3m (No. 221)
Asymmetric unit:
K1 0.000 0.000 0.000 x1
Cr1 0.000 0.500 0.500 x3
W1 0.500 0.500 0.500 x1

---

[7]
A crystal of KCr2W relaxed with PBEsol. Source: Alexandria, functional meta-GGA SCAN.

- Total DFT energy (no corrections): -111.32 eV/f.u.
- V: 72.5 Å³ per cell
- N(E_F): 0.6290 states/eV/atom

Lattice parameters (Å, degrees): 2.851 2.851 8.919 90.00 90.00 90.00
Space group P4mm (No. 99)
Asymmetric unit:
K1 0.000 0.000 0.000 x1
Cr1 0.000 0.000 0.538 x1
Cr2 0.500 0.500 0.676 x1
W1 0.500 0.500 0.349 x1

---

[8]
A crystal of KCrW relaxed with PBEsol. Source: Alexandria, functional meta-GGA SCAN.

- Total DFT energy (no corrections): -91.20 eV/f.u.
- V: 54.1 Å³ per cell
- N(E_F): 0.7678 states/eV/atom

Lattice parameters (Å, degrees): 4.9555 4.9555 2.5453 90.00 90.00 120.00
Space group P3m1 (No. 156)
Asymmetric unit:
K1 0.0000 0.0000 0.0000 x1
Cr1 0.6667 0.3333 0.2992 x1
W1 0.3333 0.6667 0.6655 x1